{"formula": "Mg2TaMnN4", "functional": "GGA-PBE", "state": "optimized geometry", "crystal_system": "monoclinic", "e_tot_ev_per_fu": -64.29, "mass_density_g_cm3": 7.117, "raw_formation_energy_ev_per_fu": -6.77, "magnetic_moment_mub_per_fu": 2.08, "lattice_angstrom": [[5.137, 0.000, 0.000], [0.000, 3.038, 0.000], [-1.753, 0.000, 5.091]], "species": ["Mg", "Mg", "Ta", "Mn", "N", "N", "N", "N"], "fractional_positions": [[0.000, 0.000, 0.000], [0.500, 0.500, 0.000], [0.000, 0.500, 0.500], [0.500, 0.000, 0.500], [0.247, 0.000, 0.737], [0.262, 0.500, 0.268], [0.738, 0.500, 0.732], [0.753, 0.000, 0.263]]}

---

{"formula": "AcPr2NbN4", "functional": "GGA-PBE", "state": "optimized geometry", "crystal_system": "orthorhombic", "e_tot_ev_per_fu": -65.64, "mass_density_g_cm3": 7.647, "raw_formation_energy_ev_per_fu": -8.60, "magnetic_moment_mub_per_fu": 0.00, "lattice_angstrom": [[1.791, -6.311, 0.000], [1.791, 6.311, 0.000], [0.000, 0.000, 12.635]], "species": ["Ac", "Ac", "Pr", "Pr", "Pr", "Pr", "Nb", "Nb", "N", "N", "N", "N", "N", "N", "N", "N"], "fractional_positions": [[0.091, 0.909, 0.750], [0.909, 0.091, 0.250], [0.370, 0.630, 0.537], [0.370, 0.630, 0.963], [0.630, 0.370, 0.037], [0.630, 0.370, 0.463], [0.171, 0.829, 0.250], [0.829, 0.171, 0.750], [0.000, 0.000, 0.000], [0.000, 0.000, 0.500], [0.266, 0.734, 0.129], [0.266, 0.734, 0.371], [0.425, 0.575, 0.750], [0.575, 0.425, 0.250], [0.734, 0.266, 0.629], [0.734, 0.266, 0.871]]}